VASP calculation (PBEsol) on an optimized crystal structure of KHfTl2.

Summary:
Energy of formation from the pure elements in eV per atom: 0.39
Crystal system: cubic
Raw total energy in eV/atom: -3.833

abc: 7.4633 7.4633 7.4633
angles: 90.00 90.00 90.00
Space group Fm-3m (No. 225)
One atom of each set of equivalent atoms:
K1 0.0000 0.0000 0.0000 [4 per cell]
Hf1 0.0000 0.0000 0.5000 [4 per cell]
Tl1 0.2500 0.2500 0.2500 [8 per cell]

VASP calculation (PBEsol) on an optimized crystal structure of KY2Hf.

Summary:
Energy of formation from the pure elements in eV per atom: 0.79
Crystal system: cubic
Raw total energy in eV/atom: -5.533

abc: 7.8347 7.8347 7.8347
angles: 90.00 90.00 90.00
Space group Fm-3m (No. 225)
One atom of each set of equivalent atoms:
K1 0.0000 0.0000 0.0000 [4 per cell]
Y1 0.2500 0.2500 0.2500 [8 per cell]
Hf1 0.0000 0.0000 0.5000 [4 per cell]

VASP calculation (PBEsol) on an optimized crystal structure of LaHfMg3.

Summary:
Energy of formation from the pure elements in eV per atom: 0.81
Crystal system: cubic
Raw total energy in eV/atom: -3.391

abc: 5.3445 5.3445 5.3445
angles: 90.00 90.00 90.00
Space group Pm-3m (No. 221)
One atom of each set of equivalent atoms:
La1 0.0000 0.0000 0.0000 [1 per cell]
Hf1 0.5000 0.5000 0.5000 [1 per cell]
Mg1 0.0000 0.5000 0.5000 [3 per cell]

VASP calculation (PBEsol) on an optimized crystal structure of LaHfMo2Pt.

Summary:
Energy of formation from the pure elements in eV per atom: 1.71
Crystal system: tetragonal
Raw total energy in eV/atom: -7.563

abc: 4.6761 4.6761 5.4642
angles: 90.00 90.00 90.00
Space group P4/mmm (No. 123)
One atom of each set of equivalent atoms:
La1 0.0000 0.0000 0.0000 [1 per cell]
Hf1 0.0000 0.0000 0.5000 [1 per cell]
Mo1 0.0000 0.5000 0.5000 [2 per cell]
Pt1 0.5000 0.5000 0.0000 [1 per cell]

VASP calculation (PBEsol) on an optimized crystal structure of LaHfTe2Mo.

Summary:
Crystal system: tetragonal
Raw formation energy in eV per atom: 1.38
Raw total energy in eV/atom: -5.557

abc: 5.7907 5.7907 4.7095
angles: 90.00 90.00 90.00
Space group P4/mmm (No. 123)
One atom of each set of equivalent atoms:
La1 0.0000 0.0000 0.0000 [1 per cell]
Hf1 0.5000 0.5000 0.5000 [1 per cell]
Te1 0.0000 0.5000 0.0000 [2 per cell]
Mo1 0.0000 0.0000 0.5000 [1 per cell]

VASP calculation (PBEsol) on an optimized crystal structure of La2HfTaN.

Summary:
Crystal system: tetragonal
Raw formation energy in eV per atom: 1.00
Raw total energy in eV/atom: -7.450

abc: 5.8464 5.8464 3.9585
angles: 90.00 90.00 90.00
Space group P4/mmm (No. 123)
One atom of each set of equivalent atoms:
La1 0.0000 0.5000 0.0000 [2 per cell]
Hf1 0.0000 0.0000 0.0000 [1 per cell]
Ta1 0.5000 0.5000 0.5000 [1 per cell]
N1 0.0000 0.0000 0.5000 [1 per cell]

VASP calculation (PBEsol) on an optimized crystal structure of La3HfNb.

Summary:
Energy of formation from the pure elements in eV per atom: 0.84
Crystal system: cubic
Raw total energy in eV/atom: -6.634

abc: 5.4493 5.4493 5.4493
angles: 90.00 90.00 90.00
Space group Pm-3m (No. 221)
One atom of each set of equivalent atoms:
La1 0.0000 0.0000 0.5000 [3 per cell]
Hf1 0.5000 0.5000 0.5000 [1 per cell]
Nb1 0.0000 0.0000 0.0000 [1 per cell]

VASP calculation (PBEsol) on an optimized crystal structure of La2HfNbPd.

Summary:
Energy of formation from the pure elements in eV per atom: 0.72
Crystal system: tetragonal
Raw total energy in eV/atom: -6.873

abc: 5.4616 5.4616 5.0251
angles: 90.00 90.00 90.00
Space group P4/mmm (No. 123)
One atom of each set of equivalent atoms:
La1 0.0000 0.5000 0.0000 [2 per cell]
Hf1 0.0000 0.0000 0.5000 [1 per cell]
Nb1 0.5000 0.5000 0.5000 [1 per cell]
Pd1 0.0000 0.0000 0.0000 [1 per cell]

VASP calculation (PBEsol) on an optimized crystal structure of LaHfNb2Se.

Summary:
Crystal system: tetragonal
Raw formation energy in eV per atom: 1.10
Raw total energy in eV/atom: -7.171

abc: 4.7733 4.7733 5.9645
angles: 90.00 90.00 90.00
Space group P4/mmm (No. 123)
One atom of each set of equivalent atoms:
La1 0.0000 0.0000 0.0000 [1 per cell]
Hf1 0.0000 0.0000 0.5000 [1 per cell]
Nb1 0.0000 0.5000 0.5000 [2 per cell]
Se1 0.5000 0.5000 0.0000 [1 per cell]

VASP calculation (PBEsol) on an optimized crystal structure of LaHfZr2Nb.

Summary:
Energy of formation from the pure elements in eV per atom: 0.63
Crystal system: tetragonal
Raw total energy in eV/atom: -8.337

abc: 5.1046 5.1046 5.1726
angles: 90.00 90.00 90.00
Space group P4/mmm (No. 123)
One atom of each set of equivalent atoms:
La1 0.0000 0.0000 0.0000 [1 per cell]
Hf1 0.5000 0.5000 0.0000 [1 per cell]
Zr1 0.0000 0.5000 0.5000 [2 per cell]
Nb1 0.5000 0.5000 0.5000 [1 per cell]

VASP calculation (PBEsol) on an optimized crystal structure of LaHf3O.

Summary:
Crystal system: cubic
Raw formation energy in eV per atom: -0.80
Raw total energy in eV/atom: -9.223

abc: 4.5721 4.5721 4.5721
angles: 90.00 90.00 90.00
Space group Pm-3m (No. 221)
One atom of each set of equivalent atoms:
La1 0.0000 0.0000 0.0000 [1 per cell]
Hf1 0.0000 0.5000 0.5000 [3 per cell]
O1 0.5000 0.5000 0.5000 [1 per cell]

VASP calculation (PBEsol) on an optimized crystal structure of La2Hf2O7.

Summary:
Crystal system: cubic
Raw formation energy in eV per atom: -3.63
Raw total energy in eV/atom: -9.848

abc: 10.6845 10.6845 10.6845
angles: 90.00 90.00 90.00
Space group Fd-3m (No. 227, origin choice 2)
One atom of each set of equivalent atoms:
La1 0.0000 0.0000 0.0000 [16 per cell]
Hf1 0.0000 0.0000 0.5000 [16 per cell]
O1 0.0808 0.3750 0.8750 [48 per cell]
O2 0.1250 0.1250 0.1250 [8 per cell]